SrMgGe2Rh (PBE-GGA, relaxed); space-group type = I-4m2 (119); ΔH_f (0 K) = -532 meV per atom; raw total energy = -4.505 eV/atom
1.0
-1.8748 2.9120 -2.5216
-1.1088 -3.0937 -2.7482
-3.3683 -0.6338 5.4115
Ge Mg Rh Sr
2 1 1 1
Direct
0.6170 0.6170 0.2340
0.3830 0.3830 0.7660
0.7500 0.2500 0.5000
0.2500 0.7500 0.5000
0.0000 0.0000 0.0000

***

ScCu3Pd (PBE-GGA, relaxed); E above lowest polymorph = 0.000 eV per atom; space-group type = I-4m2 (119); ΔH_f (0 K) = 122 meV per atom; raw total energy = -4.641 eV/atom
1.0
-0.4122 -4.3174 1.5543
3.7516 0.5815 2.6102
-6.8106 4.7848 4.6568
Cu Pd Sc
6 2 2
Direct
0.1252 0.8728 0.7456
0.1272 0.3797 0.2544
0.6203 0.8728 0.7456
0.3258 0.3258 0.6515
0.6742 0.6742 0.3485
0.1272 0.8748 0.2544
0.0000 0.0000 0.0000
0.2500 0.7500 0.5000
0.5755 0.0755 0.1510
0.9245 0.4245 0.8490

***

PmPr2Eu (PBE-GGA, relaxed); E above lowest polymorph = 0.000 eV per atom; space-group type = P4/mmm (123); ΔH_f (0 K) = 57 meV per atom; raw total energy = -6.089 eV/atom
1.0
-5.0523 -0.1423 -1.3685
1.2371 -2.8383 -4.2722
-0.6257 -4.4454 2.7722
Pr Eu Pm
2 1 1
Direct
0.0000 0.5000 0.0000
0.0000 0.0000 0.5000
0.5000 0.5000 0.5000
0.5000 0.0000 0.0000

***

RbZnCl3 (PBE-GGA, relaxed); space-group type = C2/c (15); raw total energy = -3.047 eV/atom; formation energy without anion corrections = -143.8 kJ per mole of atoms
1.0
15.2137 0.0000 -0.4417
6.3703 8.0748 -2.9207
-6.3703 8.0748 2.9207
Rb Zn Cl
4 4 12
Direct
0.8870 0.4627 0.7362
0.3870 0.7638 0.0373
0.6130 0.2362 0.9627
0.1130 0.5373 0.2638
0.2500 0.9086 0.4086
0.7500 0.5903 0.0903
0.7500 0.0914 0.5914
0.2500 0.4097 0.9097
0.9998 0.6700 0.8309
0.8996 0.1339 0.6885
0.1004 0.8661 0.3115
0.5002 0.3309 0.1700
0.6004 0.1885 0.6339
0.1006 0.6110 0.5681
0.0001 0.3300 0.1691
0.8994 0.3890 0.4319
0.4998 0.6691 0.8300
0.6006 0.9319 0.8890
0.3996 0.8115 0.3661
0.3994 0.0681 0.1110

***

RbPClO2 (PBE-GGA, relaxed); E above lowest polymorph = 0.527 eV per atom; space-group type = P4/mmm (123); raw total energy = -2.450 eV/atom; formation energy without anion corrections = 113.7 kJ per mole of atoms
1.0
-0.6790 2.8232 -3.3233
-3.0166 -2.7328 -1.7053
-5.7882 3.6934 4.3203
Rb O P Cl
1 2 1 1
Direct
0.0000 0.0000 0.0000
0.0000 0.5000 0.0000
0.5000 0.0000 0.0000
0.0000 0.0000 0.5000
0.5000 0.5000 0.5000

***

Cs2Rb2CdHg2 (PBE-GGA, relaxed); space-group type = P-1 (2); ΔH_f (0 K) = -132 meV per atom; raw total energy = -0.870 eV/atom
1.0
-4.1224 4.8678 1.1575
-2.0434 -3.4066 7.0332
2.3220 4.4003 7.8688
Rb Hg Cs Cd
2 2 2 1
Direct
0.4222 0.1438 0.1564
0.5778 0.8562 0.8436
0.8076 0.8903 0.3867
0.1924 0.1097 0.6133
0.1686 0.5704 0.6639
0.8314 0.4296 0.3361
0.0000 0.0000 0.0000

***

Ce3ErCo (PBE-GGA, relaxed); E above lowest polymorph = 0.057 eV per atom; space-group type = Pm-3m (221); ΔH_f (0 K) = 89 meV per atom; raw total energy = -5.805 eV/atom
1.0
-4.9909 -0.4748 1.4871
0.2690 -5.1687 -0.7473
1.5377 -0.6368 4.9574
Er Ce Co
1 3 1
Direct
0.5000 0.5000 0.5000
0.5000 0.0000 0.0000
0.0000 0.0000 0.5000
0.0000 0.5000 0.0000
0.0000 0.0000 0.0000

***

V7Fe2C2 (PBE-GGA, relaxed); space-group type = Imm2 (44); ΔH_f (0 K) = -136 meV per atom; raw total energy = -9.154 eV/atom
1.0
2.8632 0.0000 0.0000
1.4316 7.3439 0.5083
1.4316 3.9295 6.2249
V Fe C
7 2 2
Direct
0.8375 0.4365 0.8884
0.3676 0.7375 0.5274
0.8168 0.0918 0.2745
0.1832 0.7255 0.9082
0.6324 0.4726 0.2625
0.1625 0.1116 0.5635
0.5000 0.0198 0.9802
0.0000 0.7139 0.2861
0.5000 0.3493 0.6507
0.2468 0.3508 0.1555
0.7532 0.8445 0.6492

***

AlFePt (PBE-GGA, relaxed); space-group type = P3m1 (156); ΔH_f (0 K) = -425 meV per atom; raw total energy = -6.507 eV/atom
1.0
4.2251 0.0000 0.0000
-2.1126 3.6591 0.0000
0.0000 0.0000 2.7488
Al Fe Pt
1 1 1
Direct
0.0000 0.0000 0.9406
0.6667 0.3333 0.3182
0.3333 0.6667 0.7412

***

PaPSeO4 (PBE-GGA, relaxed); space-group type = C2/m (12); raw total energy = -7.877 eV/atom; formation energy without anion corrections = -233.2 kJ per mole of atoms
1.0
-5.3901 1.4864 2.3184
-4.1712 -0.1320 -4.3842
-2.8179 -5.8292 0.8951
O P Se Pa
8 2 2 2
Direct
0.4905 0.1410 0.1545
0.8590 0.5095 0.8455
0.7011 0.7011 0.4972
0.5296 0.5296 0.2207
0.5095 0.8590 0.8455
0.2989 0.2989 0.5028
0.1410 0.4905 0.1545
0.4704 0.4704 0.7793
0.3699 0.3699 0.2624
0.6301 0.6301 0.7376
0.9791 0.9791 0.7543
0.0209 0.0209 0.2457
0.7722 0.7722 0.1464
0.2278 0.2278 0.8536

***

KPdBr (PBE-GGA, relaxed); E above lowest polymorph = 0.209 eV per atom; space-group type = P6_3/mmc (194); raw total energy = -3.157 eV/atom; formation energy without anion corrections = -48.5 kJ per mole of atoms
1.0
4.7913 -2.7662 0.0000
0.0000 5.5325 0.0000
0.0000 0.0000 9.7336
Br K Pd
2 2 2
Direct
0.0000 0.0000 0.7500
0.0000 0.0000 0.2500
0.6667 0.3333 0.7500
0.3333 0.6667 0.2500
0.0000 0.0000 0.5000
0.0000 0.0000 0.0000

***

CeCdGa (PBE-GGA, relaxed); space-group type = F-43m (216); ΔH_f (0 K) = -295 meV per atom; raw total energy = -3.587 eV/atom
1.0
4.8173 0.0000 0.0000
2.4087 4.1719 0.0000
2.4087 1.3906 3.9333
Cd Ga Ce
1 1 1
Direct
0.0000 0.0000 0.0000
0.2500 0.2500 0.2500
0.5000 0.5000 0.5000

***

Tl12HgSb5 (PBE-GGA, relaxed); space-group type = Immm (71); raw total energy = -2.719 eV/atom; formation energy without anion corrections = 2.0 kJ per mole of atoms
1.0
8.5876 0.2316 -3.2633
-4.3502 7.5632 -2.8851
0.0071 -0.2316 9.1868
Tl Sb Hg
12 5 1
Direct
0.0828 0.8161 0.2667
0.4506 0.1839 0.2667
0.2635 0.6767 0.9403
0.2635 0.3233 0.5868
0.7960 0.0517 0.2557
0.5494 0.8161 0.7333
0.2040 0.4597 0.2557
0.7365 0.6767 0.4132
0.7960 0.5403 0.7443
0.7365 0.3233 0.0597
0.2040 0.9483 0.7443
0.9172 0.1839 0.7333
0.6346 0.6346 0.0000
0.5000 0.8664 0.3664
0.0000 0.0000 0.0000
0.3654 0.3654 0.0000
0.5000 0.1336 0.6336
0.0000 0.5000 0.5000

***

NdPu2ThSe4 (PBE-GGA, relaxed); space-group type = P2/m (10); raw total energy = -8.473 eV/atom; formation energy without anion corrections = -156.7 kJ per mole of atoms
1.0
4.1472 0.0000 0.0000
0.0000 7.2839 -0.1830
0.0000 2.5294 6.7507
Se Pu Nd Th
4 2 1 1
Direct
0.0000 0.2420 0.2530
0.5000 0.2413 0.7530
0.5000 0.7587 0.2470
0.0000 0.7580 0.7470
0.5000 0.0000 0.5000
0.0000 0.0000 0.0000
0.5000 0.5000 0.0000
0.0000 0.5000 0.5000

***

CsPd2F (PBE-GGA, relaxed); space-group type = Fm-3m (225); raw total energy = -3.226 eV/atom; formation energy without anion corrections = 5.0 kJ per mole of atoms
1.0
0.0000 3.4177 3.4177
3.4177 0.0000 3.4177
3.4177 3.4177 0.0000
Pd F Cs
2 1 1
Direct
0.2500 0.2500 0.2500
0.7500 0.7500 0.7500
0.0000 0.0000 0.0000
0.5000 0.5000 0.5000

***

Ac2Ge4Os (PBE-GGA, relaxed); E above lowest polymorph = 0.000 eV per atom; space-group type = P4/mmm (123); ΔH_f (0 K) = -318 meV per atom; raw total energy = -5.735 eV/atom
1.0
-1.4466 -4.6737 0.6396
5.7311 -1.6562 0.8600
-0.6000 0.9952 5.9155
Ac Ge Os
2 4 1
Direct
0.5000 0.5000 0.0000
0.5000 0.0000 0.5000
0.0000 0.2883 0.7117
0.0000 0.7117 0.7117
0.0000 0.7117 0.2883
0.0000 0.2883 0.2883
0.0000 0.0000 0.0000

***

TcSbCl2 (PBE-GGA, relaxed); E above lowest polymorph = 0.321 eV per atom; space-group type = P4mm (99); raw total energy = -4.448 eV/atom; formation energy without anion corrections = 9.4 kJ per mole of atoms
1.0
-0.3355 -3.0712 0.7073
-0.3112 -0.6756 -3.0809
8.4560 -1.0667 -0.6203
Sb Cl Tc
1 2 1
Direct
0.0000 0.0000 0.5366
0.0000 0.0000 0.9167
0.5000 0.5000 0.3021
0.5000 0.5000 0.7446

***

ZnOs (PBE-GGA, relaxed); space-group type = P4/m (83); ΔH_f (0 K) = 303 meV per atom; raw total energy = -5.949 eV/atom
1.0
9.3866 0.0000 0.0000
0.0000 9.3866 0.0000
0.0000 0.0000 2.8115
Os Zn
8 8
Direct
0.9099 0.4109 0.5000
0.0901 0.5891 0.5000
0.3191 0.5450 0.0000
0.4550 0.3191 0.0000
0.5450 0.6809 0.0000
0.5891 0.9099 0.5000
0.4109 0.0901 0.5000
0.6809 0.4550 0.0000
0.3122 0.8025 0.5000
0.1975 0.3122 0.5000
0.1876 0.0244 0.0000
0.6878 0.1975 0.5000
0.8124 0.9756 0.0000
0.9756 0.1876 0.0000
0.8025 0.6878 0.5000
0.0244 0.8124 0.0000

***

ErHfZnRh (PBE-GGA, relaxed); space-group type = F-43m (216); ΔH_f (0 K) = -495 meV per atom; raw total energy = -6.281 eV/atom
1.0
4.7740 0.0000 0.0000
2.3870 4.1344 0.0000
2.3870 1.3781 3.8980
Zn Rh Er Hf
1 1 1 1
Direct
0.7500 0.7500 0.7500
0.2500 0.2500 0.2500
0.5000 0.5000 0.5000
0.0000 0.0000 0.0000

***

PmDy2Si2 (PBE-GGA, relaxed); E above lowest polymorph = 0.050 eV per atom; space-group type = Immm (71); raw total energy = -5.553 eV/atom; formation energy without anion corrections = -57.2 kJ per mole of atoms
1.0
-2.3902 3.1262 1.9732
-1.3936 -1.4025 5.4447
3.0529 2.9427 3.9464
Dy Pm Si
2 1 2
Direct
0.8012 0.6988 0.6988
0.1988 0.3012 0.3012
0.0000 0.0000 0.0000
0.5000 0.6923 0.3077
0.5000 0.3077 0.6923